No. 1
Below is crystalline PuMgCd3 at its relaxed geometry, with properties calculated at the PBE level.

Output
- Fermi-level density of states: 25.34 states/eV per cell
- Formation energy: -0.011 eV per atom
- Magnetization: 12.10 μB per cell
- Polymorph energy (0 for the lowest one): 72.0 meV/atom
- V: 24.456 Å³ per atom

Cell and atoms, written as CIF:
```
data_PuMgCd3
_space_group_name_H-M_alt 'P 1'
_space_group_IT_number 1
_space_group_name_Hall 'P 1'
_cell_length_a 6.169
_cell_length_b 5.898
_cell_length_c 6.722
_cell_angle_alpha 90.00
_cell_angle_beta 90.66
_cell_angle_gamma 90.00
loop_
_atom_site_label
_atom_site_fract_x
_atom_site_fract_y
_atom_site_fract_z
Pu1 0.626 0.750 0.382
Pu2 0.374 0.250 0.618
Mg1 0.433 0.750 0.887
Mg2 0.567 0.250 0.113
Cd1 0.156 0.001 0.169
Cd2 0.844 0.999 0.831
Cd3 0.156 0.499 0.169
Cd4 0.844 0.501 0.831
Cd5 0.135 0.750 0.556
Cd6 0.865 0.250 0.444
```

No. 2
Below is crystalline PuMg14Cd at its relaxed geometry, with properties calculated at the PBE level.

Output
- Fermi-level density of states: 14.08 states/eV per cell
- Formation energy: 0.044 eV per atom
- Magnetization: 6.31 μB per cell
- V: 23.437 Å³ per atom

Cell and atoms, written as CIF:
```
data_PuMg14Cd
_space_group_name_H-M_alt 'P 1'
_space_group_IT_number 1
_space_group_name_Hall 'P 1'
_cell_length_a 7.450
_cell_length_b 7.450
_cell_length_c 6.756
_cell_angle_alpha 90.00
_cell_angle_beta 90.00
_cell_angle_gamma 90.00
loop_
_atom_site_label
_atom_site_fract_x
_atom_site_fract_y
_atom_site_fract_z
Pu1 0.875 0.875 0.500
Mg1 0.875 0.875 0.000
Mg2 0.375 0.375 0.000
Mg3 0.875 0.375 0.500
Mg4 0.875 0.375 0.000
Mg5 0.375 0.875 0.500
Mg6 0.375 0.875 0.000
Mg7 0.617 0.133 0.248
Mg8 0.617 0.133 0.752
Mg9 0.133 0.617 0.248
Mg10 0.133 0.617 0.752
Mg11 0.617 0.617 0.248
Mg12 0.617 0.617 0.752
Mg13 0.133 0.133 0.248
Mg14 0.133 0.133 0.752
Cd1 0.375 0.375 0.500
```

No. 3
Below is crystalline PuMg2Cd at its relaxed geometry, with properties calculated at the PBE level.

Output
- Fermi-level density of states: 12.14 states/eV per cell
- Formation energy: 0.109 eV per atom
- Magnetization: 6.58 μB per cell
- Polymorph energy (0 for the lowest one): 100.2 meV/atom
- V: 25.580 Å³ per atom

Cell and atoms, written as CIF:
```
data_PuMg2Cd
_space_group_name_H-M_alt 'P 1'
_space_group_IT_number 1
_space_group_name_Hall 'P 1'
_cell_length_a 4.740
_cell_length_b 4.646
_cell_length_c 4.646
_cell_angle_alpha 90.00
_cell_angle_beta 90.00
_cell_angle_gamma 90.00
loop_
_atom_site_label
_atom_site_fract_x
_atom_site_fract_y
_atom_site_fract_z
Mg1 0.000 0.000 0.500
Mg2 0.000 0.500 0.000
Cd1 0.500 0.500 0.500
Pu1 0.500 0.000 0.000
```

No. 4
Below is crystalline Pu2Mg2Cd15 at its relaxed geometry, with properties calculated at the PBE level.

Output
- Fermi-level density of states: 33.69 states/eV per cell
- Formation energy: -0.041 eV per atom
- Magnetization: 11.86 μB per cell
- V: 23.348 Å³ per atom

Cell and atoms, written as CIF:
```
data_Pu2Mg2Cd15
_space_group_name_H-M_alt 'P 1'
_space_group_IT_number 1
_space_group_name_Hall 'P 1'
_cell_length_a 7.707
_cell_length_b 7.707
_cell_length_c 7.707
_cell_angle_alpha 81.37
_cell_angle_beta 81.37
_cell_angle_gamma 81.37
loop_
_atom_site_label
_atom_site_fract_x
_atom_site_fract_y
_atom_site_fract_z
Pu1 0.333 0.333 0.333
Pu2 0.667 0.667 0.667
Mg1 0.103 0.103 0.103
Mg2 0.897 0.897 0.897
Cd1 0.500 0.000 0.000
Cd2 0.000 0.000 0.500
Cd3 0.000 0.500 0.000
Cd4 0.000 0.704 0.296
Cd5 0.704 0.296 0.000
Cd6 0.296 0.000 0.704
Cd7 0.296 0.704 0.000
Cd8 0.704 0.000 0.296
Cd9 0.000 0.296 0.704
Cd10 0.156 0.637 0.637
Cd11 0.637 0.637 0.156
Cd12 0.637 0.156 0.637
Cd13 0.844 0.363 0.363
Cd14 0.363 0.363 0.844
Cd15 0.363 0.844 0.363
```

> Among the records above, which one has the highest formation energy?

PuMg2Cd

Repeat the third record exactly.
Below is crystalline PuMg2Cd at its relaxed geometry, with properties calculated at the PBE level.

Output
- Fermi-level density of states: 12.14 states/eV per cell
- Formation energy: 0.109 eV per atom
- Magnetization: 6.58 μB per cell
- Polymorph energy (0 for the lowest one): 100.2 meV/atom
- V: 25.580 Å³ per atom

Cell and atoms, written as CIF:
```
data_PuMg2Cd
_space_group_name_H-M_alt 'P 1'
_space_group_IT_number 1
_space_group_name_Hall 'P 1'
_cell_length_a 4.740
_cell_length_b 4.646
_cell_length_c 4.646
_cell_angle_alpha 90.00
_cell_angle_beta 90.00
_cell_angle_gamma 90.00
loop_
_atom_site_label
_atom_site_fract_x
_atom_site_fract_y
_atom_site_fract_z
Mg1 0.000 0.000 0.500
Mg2 0.000 0.500 0.000
Cd1 0.500 0.500 0.500
Pu1 0.500 0.000 0.000
```